No. 1
{
  "formula": "TeOs2",
  "functional": "PBEsol",
  "state": "optimized geometry",
  "polymorph_energy_mev_per_atom": 169,
  "sg": "No. 123",
  "lattice": [[-1.848, -1.038, 2.975], [3.145, -0.404, 1.813], [-0.219, 4.104, 1.296]],
  "species": ["Os", "Te", "Os"],
  "fractional_positions": [[0.000, 0.500, 0.500], [0.000, 0.000, 0.000], [0.500, 0.000, 0.500]]
}

No. 2
{
  "formula": "TeOs",
  "functional": "PBEsol",
  "state": "optimized geometry",
  "energy_ev_per_atom": -6.9909,
  "sg": "No. 74",
  "lattice": [[-0.387, 0.035, 2.972], [-1.451, -4.574, -0.135], [5.771, 0.711, -0.768]],
  "species": ["Os", "Te", "Te", "Os"],
  "fractional_positions": [[0.857, 0.107, 0.713], [0.601, 0.351, 0.203], [0.399, 0.649, 0.797], [0.143, 0.893, 0.287]]
}

No. 3
{
  "formula": "TeOs3",
  "functional": "PBEsol",
  "state": "optimized geometry",
  "polymorph_energy_mev_per_atom": 3,
  "sg": "No. 47",
  "lattice": [[-1.640, 2.310, -0.454], [-1.576, -1.704, -2.974], [-4.133, -2.251, 3.480]],
  "species": ["Os", "Te", "Os", "Os"],
  "fractional_positions": [[0.500, 0.500, 0.278], [0.000, 0.000, 0.000], [0.500, 0.500, 0.722], [0.000, 0.000, 0.500]]
}

No. 4
{
  "formula": "Te5Os",
  "functional": "PBEsol",
  "state": "optimized geometry",
  "energy_ev_per_atom": -4.7863,
  "sg": "No. 65",
  "lattice": [[-1.020, 2.403, 3.043], [4.344, -2.195, 3.190], [4.873, 3.809, -4.015]],
  "species": ["Os", "Te", "Te", "Te", "Te", "Te"],
  "fractional_positions": [[0.056, 0.000, 0.111], [0.388, 0.500, 0.775], [0.056, 0.500, 0.111], [0.723, 0.500, 0.447], [0.676, 0.000, 0.352], [0.435, 0.000, 0.870]]
}

No. 5
{
  "formula": "TeOs3",
  "functional": "PBEsol",
  "state": "optimized geometry",
  "polymorph_energy_mev_per_atom": 0,
  "sg": "No. 166",
  "lattice": [[2.887, 0.000, 0.000], [1.443, 2.500, 0.000], [1.443, 0.833, 8.702]],
  "species": ["Os", "Os", "Os", "Te"],
  "fractional_positions": [[0.247, 0.247, 0.258], [0.500, 0.500, 0.500], [0.753, 0.753, 0.742], [0.000, 0.000, 0.000]]
}

No. 6
{
  "formula": "TeOs3",
  "functional": "PBEsol",
  "state": "optimized geometry",
  "polymorph_energy_mev_per_atom": 348,
  "sg": "No. 225",
  "lattice": [[4.473, 0.000, 0.000], [2.237, 3.874, 0.000], [2.237, 1.291, 3.652]],
  "species": ["Te", "Os", "Os", "Os"],
  "fractional_positions": [[0.000, 0.000, 0.000], [0.500, 0.500, 0.500], [0.250, 0.250, 0.250], [0.750, 0.750, 0.750]]
}

Question: Number 2 is which compound?
Answer: TeOs